Computed, not measured: a relaxed Sr12Cu3O5 crystal at the PBE-GGA level of DFT.

```
Sr12Cu3O5
1.0
-8.3292 8.3292 8.3292
8.3292 -8.3292 8.3292
8.3292 8.3292 -8.3292
Sr Cu O
48 12 20
Direct
0.0160 0.1995 0.1189
0.0160 0.3165 0.8971
0.0806 0.6995 0.6835
0.0806 0.8811 0.3971
0.1029 0.6189 0.4194
0.1029 0.9840 0.6835
0.1189 0.0160 0.1995
0.1189 0.6029 0.9194
0.1835 0.1995 0.5806
0.1835 0.4840 0.6029
0.1995 0.1189 0.0160
0.1995 0.5806 0.1835
0.3005 0.3165 0.9194
0.3005 0.4840 0.3811
0.3165 0.8971 0.0160
0.3165 0.9194 0.3005
0.3811 0.3005 0.4840
0.3811 0.5806 0.8971
0.3971 0.0806 0.8811
0.3971 0.8165 0.5160
0.4194 0.1029 0.6189
0.4194 0.8165 0.8005
0.4840 0.3811 0.3005
0.4840 0.6029 0.1835
0.5160 0.3971 0.8165
0.5160 0.6189 0.6995
0.5806 0.1835 0.1995
0.5806 0.8971 0.3811
0.6029 0.1835 0.4840
0.6029 0.9194 0.1189
0.6189 0.4194 0.1029
0.6189 0.6995 0.5160
0.6835 0.0806 0.6995
0.6835 0.1029 0.9840
0.6995 0.5160 0.6189
0.6995 0.6835 0.0806
0.8005 0.4194 0.8165
0.8005 0.8811 0.9840
0.8165 0.5160 0.3971
0.8165 0.8005 0.4194
0.8811 0.3971 0.0806
0.8811 0.9840 0.8005
0.8971 0.0160 0.3165
0.8971 0.3811 0.5806
0.9194 0.1189 0.6029
0.9194 0.3005 0.3165
0.9840 0.6835 0.1029
0.9840 0.8005 0.8811
0.1250 0.2500 0.3750
0.1250 0.3750 0.7500
0.2500 0.3750 0.1250
0.2500 0.8750 0.6250
0.3750 0.1250 0.2500
0.3750 0.7500 0.1250
0.6250 0.2500 0.8750
0.6250 0.8750 0.7500
0.7500 0.1250 0.3750
0.7500 0.6250 0.8750
0.8750 0.6250 0.2500
0.8750 0.7500 0.6250
0.0000 0.0000 0.0000
0.0000 0.0000 0.5000
0.0000 0.5000 0.0000
0.0000 0.5000 0.5000
0.1250 0.7500 0.8750
0.1250 0.8750 0.2500
0.2500 0.1250 0.8750
0.2500 0.6250 0.3750
0.3750 0.2500 0.6250
0.3750 0.6250 0.7500
0.5000 0.0000 0.0000
0.5000 0.0000 0.5000
0.5000 0.5000 0.0000
0.5000 0.5000 0.5000
0.6250 0.3750 0.2500
0.6250 0.7500 0.3750
0.7500 0.3750 0.6250
0.7500 0.8750 0.1250
0.8750 0.1250 0.7500
0.8750 0.2500 0.1250
```

- V: 578 Å³/f.u.
- Electronic total energy: -4.10 eV/atom
- SG: Ia-3d, No. 230